## PSeBr2F (GGA-PBE)

Data for a geometry-optimized PSeBr2F structure.

Unit cell a=5.629 b=5.629 c=3.870 alpha=90.00 beta=90.00 gamma=90.00
Element x y z (fractional)
1 P 0.500 0.500 0.500
2 Br 0.500 0.000 0.000
3 Se 0.000 0.000 0.500
4 Br 0.000 0.500 0.000
5 F 0.000 0.000 0.000

## Properties
Energy relative to the elements, uncorrected: 15.27 kcal/mol of atoms
Total magnetic moment: 2.401 μB/f.u.
Calculated volume: 24.52 Å³ per atom
Offset from the most stable computed form: 0.450 eV per atom
E: -10.801 eV for the cell shown

***

## SrPBrF2 (GGA-PBE)

Data for a geometry-optimized SrPBrF2 structure.

Unit cell a=4.811 b=4.706 c=4.811 alpha=90.00 beta=90.00 gamma=90.00
Element x y z (fractional)
1 Br 0.000 0.000 0.000
2 F 0.500 0.000 0.000
3 P 0.000 0.500 0.000
4 F 0.000 0.000 0.500
5 Sr 0.500 0.500 0.500

## Properties
Energy relative to the elements, uncorrected: -22.87 kcal/mol of atoms
Total magnetic moment: 0.000 μB/f.u.
Calculated volume: 21.78 Å³ per atom
E: -17.466 eV for the cell shown

***

## TlPBrF6 (GGA-PBE)

Data for a geometry-optimized TlPBrF6 structure.

Unit cell a=6.973 b=7.356 c=4.901 alpha=96.01 beta=81.84 gamma=40.01
Element x y z (fractional)
1 F 0.595 0.284 0.596
2 F 0.154 0.642 0.460
3 F 0.551 0.145 0.185
4 Tl 0.543 0.648 0.358
5 F 0.110 0.524 0.865
6 F 0.066 0.388 0.459
7 P 0.333 0.335 0.525
8 Br 0.130 0.012 0.969
9 F 0.517 0.024 0.584

## Properties
Energy relative to the elements, uncorrected: -47.99 kcal/mol of atoms
Total magnetic moment: 0.000 μB/f.u.
Calculated volume: 16.75 Å³ per atom
E: -39.406 eV for the cell shown

***

## ZnP2BrF (GGA-PBE)

Data for a geometry-optimized ZnP2BrF structure.

Unit cell a=4.964 b=5.394 c=4.964 alpha=90.00 beta=90.00 gamma=90.00
Element x y z (fractional)
1 P 0.500 0.000 0.000
2 Zn 0.000 0.500 0.000
3 P 0.000 0.000 0.500
4 F 0.500 0.500 0.500
5 Br 0.000 0.000 0.000

## Properties
Energy relative to the elements, uncorrected: 25.61 kcal/mol of atoms
Total magnetic moment: 2.177 μB/f.u.
Calculated volume: 26.58 Å³ per atom
E: -10.086 eV for the cell shown

***

## PaBrF3 (GGA-PBE)

Data for a geometry-optimized PaBrF3 structure.

Unit cell a=3.849 b=8.156 c=11.273 alpha=90.00 beta=90.00 gamma=90.00
Element x y z (fractional)
1 Br 0.750 0.824 0.973
2 Pa 0.750 0.893 0.350
3 F 0.750 0.615 0.737
4 Br 0.250 0.176 0.027
5 F 0.250 0.385 0.263
6 F 0.250 0.544 0.067
7 F 0.750 0.456 0.933
8 F 0.750 0.140 0.255
9 F 0.250 0.044 0.433
10 Pa 0.250 0.107 0.650
11 F 0.250 0.885 0.237
12 F 0.750 0.115 0.763
13 Pa 0.750 0.393 0.150
14 Br 0.750 0.324 0.527
15 F 0.750 0.956 0.567
16 Br 0.250 0.676 0.473
17 F 0.250 0.360 0.755
18 F 0.250 0.860 0.745
19 F 0.750 0.640 0.245
20 Pa 0.250 0.607 0.850

## Properties
Energy relative to the elements, uncorrected: -73.07 kcal/mol of atoms
Total magnetic moment: 1.000 μB/f.u.
Calculated volume: 17.69 Å³ per atom
Offset from the most stable computed form: 0.000 eV per atom
E: -130.506 eV for the cell shown

***

## PaBr2F2 (GGA-PBE)

Data for a geometry-optimized PaBr2F2 structure.

Unit cell a=3.959 b=4.743 c=13.803 alpha=90.00 beta=90.00 gamma=90.00
Element x y z (fractional)
1 Pa 0.000 0.000 0.000
2 F 0.500 0.500 0.413
3 Br 0.000 0.500 0.127
4 F 0.500 0.000 0.087
5 Pa 0.000 0.500 0.500
6 Br 0.000 0.000 0.373
7 Br 0.000 0.000 0.627
8 Br 0.000 0.500 0.873
9 F 0.500 0.000 0.913
10 F 0.500 0.500 0.587

## Properties
Energy relative to the elements, uncorrected: -58.92 kcal/mol of atoms
Total magnetic moment: 1.001 μB/f.u.
Calculated volume: 25.92 Å³ per atom
Offset from the most stable computed form: 0.000 eV per atom
E: -58.717 eV for the cell shown

***

## PaBrF4 (GGA-PBE)

Data for a geometry-optimized PaBrF4 structure.

Unit cell a=3.986 b=6.225 c=6.211 alpha=56.88 beta=71.28 gamma=71.33
Element x y z (fractional)
1 Pa 0.000 0.000 0.000
2 Br 0.000 0.500 0.500
3 F 0.418 0.940 0.224
4 F 0.807 0.274 0.111
5 F 0.582 0.060 0.776
6 F 0.193 0.726 0.889

## Properties
Energy relative to the elements, uncorrected: -73.90 kcal/mol of atoms
Total magnetic moment: 0.000 μB/f.u.
Calculated volume: 20.03 Å³ per atom
Offset from the most stable computed form: 0.000 eV per atom
E: -37.881 eV for the cell shown

***

## PaBrF2 (GGA-PBE)

Data for a geometry-optimized PaBrF2 structure.

Unit cell a=4.153 b=4.153 c=5.729 alpha=68.75 beta=68.75 gamma=60.00
Element x y z (fractional)
1 Br 0.500 0.500 0.500
2 Pa 0.000 0.000 0.000
3 F 0.701 0.701 0.898
4 F 0.299 0.299 0.102

## Properties
Energy relative to the elements, uncorrected: -59.17 kcal/mol of atoms
Total magnetic moment: 2.000 μB/f.u.
Calculated volume: 19.43 Å³ per atom
Offset from the most stable computed form: 0.000 eV per atom
E: -25.176 eV for the cell shown

***

Question: Which of these has the lowest energy relative to the elements, uncorrected?
Answer: PaBrF4

***

Question: Among the records above, which one has the lowest energy relative to the elements, uncorrected?
Answer: PaBrF4